(1)
The following is a PBE calculation of La2ErCd after structural relaxation, from the Alexandria database.

## Properties
energy relative to the elements = -14.60 kJ per mole of atoms
crystal system = tetragonal
space-group type = I4/mmm, No. 139
total DFT energy (no corrections) = -63.8 eV for the cell shown
ΔE to the lowest computed polymorph = 0.0000 eV per atom

a = 5.302 Å, b = 5.302 Å, c = 17.990 Å
α = 90.00°, β = 90.00°, γ = 90.00°
Positions (direct):
La (0.000, 0.000, 0.136)
La (0.000, 0.000, 0.864)
La (0.000, 0.500, 0.000)
La (0.000, 0.500, 0.500)
La (0.500, 0.000, 0.000)
La (0.500, 0.000, 0.500)
La (0.500, 0.500, 0.364)
La (0.500, 0.500, 0.636)
Er (0.000, 0.000, 0.356)
Er (0.000, 0.000, 0.644)
Er (0.500, 0.500, 0.144)
Er (0.500, 0.500, 0.856)
Cd (0.000, 0.500, 0.250)
Cd (0.000, 0.500, 0.750)
Cd (0.500, 0.000, 0.250)
Cd (0.500, 0.000, 0.750)

=====

(2)
The following is a PBE calculation of La9Er4Cd11 after structural relaxation, from the Alexandria database.

## Properties
energy relative to the elements = -24.83 kJ per mole of atoms
crystal system = orthorhombic
space-group type = Cmmm, No. 65
total DFT energy (no corrections) = -78.8 eV for the cell shown

a = 14.564 Å, b = 14.564 Å, c = 3.535 Å
α = 90.00°, β = 90.00°, γ = 111.77°
Positions (direct):
La (0.000, 0.000, 0.000)
La (0.136, 0.650, 0.000)
La (0.288, 0.448, 0.000)
La (0.350, 0.864, 0.000)
La (0.448, 0.288, 0.000)
La (0.552, 0.712, 0.000)
La (0.650, 0.136, 0.000)
La (0.712, 0.552, 0.000)
La (0.864, 0.350, 0.000)
Er (0.054, 0.250, 0.000)
Er (0.250, 0.054, 0.000)
Er (0.750, 0.946, 0.000)
Er (0.946, 0.750, 0.000)
Cd (0.081, 0.442, 0.500)
Cd (0.135, 0.865, 0.500)
Cd (0.218, 0.218, 0.500)
Cd (0.341, 0.659, 0.500)
Cd (0.442, 0.081, 0.500)
Cd (0.500, 0.500, 0.500)
Cd (0.558, 0.919, 0.500)
Cd (0.659, 0.341, 0.500)
Cd (0.782, 0.782, 0.500)
Cd (0.865, 0.135, 0.500)
Cd (0.919, 0.558, 0.500)

=====

Looking at calculated density for the records above, in order, we have 7.32, 7.53 g/cm³.